Entry 1:
Zn2PtPb | GGA-PBE | optimized geometry

CIF file:
```
data_Zn2PtPb
_cell_length_a 3.2681
_cell_length_b 3.2681
_cell_length_c 7.1961
_cell_angle_alpha 90.00
_cell_angle_beta 90.00
_cell_angle_gamma 90.00
_symmetry_space_group_name_H-M 'P 4/m m m'
_symmetry_Int_Tables_number 123
_symmetry_space_group_name_Hall '-P 4 2'
loop_
_atom_site_label
_atom_site_fract_x
_atom_site_fract_y
_atom_site_fract_z
Zn1 0.0000 0.0000 0.1874
Pt1 0.5000 0.5000 0.0000
Pb1 0.5000 0.5000 0.5000
```

---

Entry 2:
La8Pr3Er2 | GGA-PBE | optimized geometry

CIF file:
```
data_La8Pr3Er2
_cell_length_a 20.6849
_cell_length_b 7.7661
_cell_length_c 5.9501
_cell_angle_alpha 90.00
_cell_angle_beta 90.04
_cell_angle_gamma 90.00
_symmetry_space_group_name_H-M 'C 1 2/m 1'
_symmetry_Int_Tables_number 12
loop_
_symmetry_equiv_pos_as_xyz
'x,y,z'
'-x,-y,-z'
'-x,y,-z'
'x,-y,z'
'x+1/2,y+1/2,z'
'-x+1/2,-y+1/2,-z'
'-x+1/2,y+1/2,-z'
'x+1/2,-y+1/2,z'
loop_
_atom_site_label
_atom_site_fract_x
_atom_site_fract_y
_atom_site_fract_z
La1 0.1073 0.2046 0.0004
La2 0.1363 0.5000 0.4994
La3 0.1761 0.0000 0.5013
Pr1 0.0000 0.2169 0.5000
Pr2 0.0000 0.5000 0.0000
Er1 0.2417 0.5000 0.9985
```

---

Number 1: formation energy -12.6 kJ per mole of atoms. Number 2: formation energy 17.6 kJ per mole of atoms.